# Mg2TcIr (meta-GGA SCAN, single point on PBEsol structure)
data_Mg2TcIr
_space_group_name_H-M_alt 'P 1'
_space_group_IT_number 1
_cell_length_a 3.818
_cell_length_b 3.818
_cell_length_c 5.004
_cell_angle_alpha 112.42
_cell_angle_beta 112.42
_cell_angle_gamma 90.00
loop_
_space_group_symop_operation_xyz
'x,y,z'
loop_
_atom_site_label
_atom_site_fract_x
_atom_site_fract_y
_atom_site_fract_z
_atom_site_occupancy
Ir1 0.000 0.000 0.000 1
Mg1 0.750 0.250 0.500 1
Mg2 0.250 0.750 0.500 1
Tc1 0.500 0.500 0.000 1
# Calculated total energy ... -2.133 Ry per atom
# Symmetry ... I4/mmm (139)
# ΔH_f (0 K) ... 0.007 eV per atom